Computed, not measured: an optimized crystal structure of Tm3TlS at the PBE level of DFT.

Computed properties:
space group	No. 221
uncorrected formation energy	-0.7671	eV/atom
total DFT energy (no corrections)	-4.749	eV per atom
DOS(E_F)	4.07	states/eV/cell

abc: 5.083 5.083 5.083
angles: 90.00 90.00 90.00
Positions (direct):
Tm1 0.000 0.000 0.500
Tm2 0.000 0.500 0.000
Tm3 0.500 0.000 0.000
Tl1 0.500 0.500 0.500
S1 0.000 0.000 0.000